## Na2Tb3YTe6 (PBE)

Data for Na2Tb3YTe6 after structural relaxation.

abc: 7.6181 7.6181 7.7164
angles: 99.46 99.46 119.95
Closest atoms and distances in Å follow each position.
Positions (direct):
Na 0.6657 0.3343 0.0000  6 Te 3.14-3.15
Te 0.7561 0.7561 0.2555  3 Tb 3.11-3.13, 1 Y 3.12, 2 Na 3.15
Te 0.0837 0.4137 0.2516  3 Tb 3.11-3.12, 1 Y 3.11, 2 Na 3.14-3.15
Tb 0.8309 0.1691 0.5000  6 Te 3.11-3.12
Tb 0.5000 0.5000 0.5000  6 Te 3.11-3.13
Na 0.3343 0.6657 0.0000  6 Te 3.14-3.15
Te 0.5863 0.9163 0.7484  3 Tb 3.11-3.12, 1 Y 3.11, 2 Na 3.14-3.15
Te 0.9163 0.5863 0.7484  3 Tb 3.11-3.12, 1 Y 3.11, 2 Na 3.14-3.15
Tb 0.1691 0.8309 0.5000  6 Te 3.11-3.12
Te 0.2439 0.2439 0.7445  3 Tb 3.11-3.13, 1 Y 3.12, 2 Na 3.15
Te 0.4137 0.0837 0.2516  3 Tb 3.11-3.12, 1 Y 3.11, 2 Na 3.14-3.15
Y 0.0000 0.0000 0.0000  6 Te 3.11-3.12

As for the mass density: 6.24 Mg/m³. For the energy relative to the elements, uncorrected, the calculation gives -127.51 kJ/mol of atoms. Its total energy is -4.808 eV per atom.

***

## NaTbZnTe3 (PBE)

Data for NaTbZnTe3 after structural relaxation.

abc: 4.3602 9.0415 10.4993
angles: 106.04 90.00 90.00
Closest atoms and distances in Å follow each position.
Positions (direct):
Na 0.2500 0.1977 0.1981  5 Te 3.19-3.47
Te 0.7500 0.2266 0.5349  3 Zn 2.72-2.77
Te 0.7500 0.4400 0.1596  3 Tb 3.08-3.10, 2 Na 3.19
Te 0.2500 0.0799 0.8538  1 Zn 2.67
Tb 0.7500 0.3244 0.8525  6 Te 3.08-3.21
Na 0.7500 0.8023 0.8019  5 Te 3.19-3.47
Zn 0.7500 0.9170 0.3993  4 Te 2.67-2.77
Zn 0.2500 0.0830 0.6007  4 Te 2.67-2.77
Te 0.2500 0.5600 0.8404  3 Tb 3.08-3.10, 2 Na 3.19
Te 0.7500 0.9201 0.1462  1 Zn 2.67
Tb 0.2500 0.6756 0.1475  6 Te 3.08-3.21
Te 0.2500 0.7734 0.4651  3 Zn 2.72-2.77

As for the mass density: 5.26 Mg/m³. For the energy relative to the elements, uncorrected, the calculation gives -94.78 kJ/mol of atoms. Its total energy is -3.757 eV per atom.

***

## Na2TbZrTe4 (PBE)

Data for Na2TbZrTe4 after structural relaxation.

abc: 4.2486 7.4271 8.0660
angles: 107.56 90.00 90.00
Closest atoms and distances in Å follow each position.
Positions (direct):
Na 0.0000 0.5000 0.5000  6 Te 3.18
Te 0.0000 0.7318 0.2268  2 Zr 2.99, 1 Tb 3.08, 3 Na 3.18-3.27
Zr 0.5000 0.5000 0.0000  6 Te 2.98-2.99
Te 0.5000 0.7450 0.7674  1 Zr 2.98, 2 Tb 3.08, 3 Na 3.18-3.27
Tb 0.0000 0.0000 0.0000  6 Te 3.08
Te 0.0000 0.2682 0.7732  2 Zr 2.99, 1 Tb 3.08, 3 Na 3.18-3.27
Na 0.5000 0.0000 0.5000  6 Te 3.27
Te 0.5000 0.2550 0.2326  1 Zr 2.98, 2 Tb 3.08, 3 Na 3.18-3.27

As for the mass density: 5.52 Mg/m³. For the energy relative to the elements, uncorrected, the calculation gives -105.27 kJ/mol of atoms. Its total energy is -4.639 eV per atom.

***

## Na2TbZr2Te6 (PBE)

Data for Na2TbZr2Te6 after structural relaxation.

abc: 7.2469 7.2469 8.1455
angles: 98.31 98.31 120.27
Closest atoms and distances in Å follow each position.
Positions (direct):
Na 0.8393 0.1607 0.0000  6 Te 3.21-3.24
Te 0.0761 0.4207 0.7275  2 Zr 2.95-2.96, 1 Tb 3.07, 2 Na 3.21-3.24
Te 0.2769 0.2769 0.2739  2 Zr 2.95, 1 Tb 3.09, 2 Na 3.23
Te 0.5793 0.9239 0.2725  2 Zr 2.95-2.96, 1 Tb 3.07, 2 Na 3.21-3.24
Te 0.4207 0.0761 0.7275  2 Zr 2.95-2.96, 1 Tb 3.07, 2 Na 3.21-3.24
Zr 0.3321 0.6679 0.5000  6 Te 2.95-2.96
Te 0.9239 0.5793 0.2725  2 Zr 2.95-2.96, 1 Tb 3.07, 2 Na 3.21-3.24
Te 0.7231 0.7231 0.7261  2 Zr 2.95, 1 Tb 3.09, 2 Na 3.23
Na 0.1607 0.8393 0.0000  6 Te 3.21-3.24
Tb 0.0000 0.0000 0.5000  6 Te 3.07-3.09
Zr 0.6679 0.3321 0.5000  6 Te 2.95-2.96

As for the mass density: 5.42 Mg/m³. For the energy relative to the elements, uncorrected, the calculation gives -99.88 kJ/mol of atoms. Its total energy is -4.964 eV per atom.

***

## Na3Tb2ZrTe6 (PBE)

Data for Na3Tb2ZrTe6 after structural relaxation.

abc: 7.4970 7.4970 8.0411
angles: 98.96 98.96 120.02
Closest atoms and distances in Å follow each position.
Positions (direct):
Te 0.7569 0.7569 0.2315  1 Zr 2.98, 2 Tb 3.10, 3 Na 3.24-3.31
Na 0.5000 0.5000 0.5000  6 Te 3.20-3.31
Na 0.1712 0.8288 0.5000  6 Te 3.21-3.27
Tb 0.3340 0.6660 0.0000  6 Te 3.10
Zr 0.0000 0.0000 0.0000  6 Te 2.98
Na 0.8288 0.1712 0.5000  6 Te 3.21-3.27
Te 0.2431 0.2431 0.7685  1 Zr 2.98, 2 Tb 3.10, 3 Na 3.24-3.31
Te 0.0768 0.3980 0.2307  1 Zr 2.98, 2 Tb 3.10, 3 Na 3.20-3.27
Te 0.6020 0.9232 0.7693  1 Zr 2.98, 2 Tb 3.10, 3 Na 3.20-3.27
Te 0.3980 0.0768 0.2307  1 Zr 2.98, 2 Tb 3.10, 3 Na 3.20-3.27
Tb 0.6660 0.3340 0.0000  6 Te 3.10
Te 0.9232 0.6020 0.7693  1 Zr 2.98, 2 Tb 3.10, 3 Na 3.20-3.27

As for the mass density: 5.55 Mg/m³. For the energy relative to the elements, uncorrected, the calculation gives -111.86 kJ/mol of atoms. Its total energy is -4.544 eV per atom.

***

## Na3TbZr2Te6 (PBE)

Data for Na3TbZr2Te6 after structural relaxation.

abc: 7.2834 7.2834 8.1316
angles: 98.62 98.62 120.08
Closest atoms and distances in Å follow each position.
Positions (direct):
Te 0.0770 0.4226 0.2292  2 Zr 2.96-2.97, 1 Tb 3.08, 3 Na 3.18-3.25
Na 0.5000 0.5000 0.5000  6 Te 3.15-3.24
Te 0.5774 0.9230 0.7708  2 Zr 2.96-2.97, 1 Tb 3.08, 3 Na 3.18-3.25
Na 0.1613 0.8387 0.5000  6 Te 3.18-3.25
Zr 0.6681 0.3319 0.0000  6 Te 2.96-2.98
Te 0.7296 0.7296 0.2272  2 Zr 2.98, 1 Tb 3.08, 3 Na 3.15-3.21
Na 0.8387 0.1613 0.5000  6 Te 3.18-3.25
Te 0.2704 0.2704 0.7728  2 Zr 2.98, 1 Tb 3.08, 3 Na 3.15-3.21
Tb 0.0000 0.0000 0.0000  6 Te 3.08
Te 0.4226 0.0770 0.2292  2 Zr 2.96-2.97, 1 Tb 3.08, 3 Na 3.18-3.25
Te 0.9230 0.5774 0.7708  2 Zr 2.96-2.97, 1 Tb 3.08, 3 Na 3.18-3.25
Zr 0.3319 0.6681 0.0000  6 Te 2.96-2.98

As for the mass density: 5.48 Mg/m³. For the energy relative to the elements, uncorrected, the calculation gives -98.93 kJ/mol of atoms. Its total energy is -4.736 eV per atom.

***

## NaTbTh2 (PBE)

Data for NaTbTh2 after structural relaxation.

abc: 3.4774 3.4774 13.1931
angles: 82.43 82.43 60.00
Closest atoms and distances in Å follow each position.
Positions (direct):
Tb 0.5000 0.5000 0.5000  6 Tb 3.48, 6 Th 3.57
Th 0.9087 0.9087 0.2740  6 Th 3.48, 3 Tb 3.57, 1 Na 3.57
Na 0.0000 0.0000 0.0000  6 Na 3.48, 2 Th 3.57
Th 0.0913 0.0913 0.7260  6 Th 3.48, 3 Tb 3.57, 1 Na 3.57

As for the mass density: 7.86 Mg/m³. For the formation energy, the calculation gives 0.240 eV/atom. Its total energy is -4.957 eV per atom.

***

## NaTb2Th (PBE)

Data for NaTb2Th after structural relaxation.

abc: 3.5801 3.5801 10.4318
angles: 90.00 90.00 90.00
Closest atoms and distances in Å follow each position.
Positions (direct):
Tb 0.0000 0.0000 0.7744  4 Th 3.46, 4 Tb 3.58, 4 Na 3.82
Na 0.5000 0.5000 0.5000  4 Na 3.58, 8 Tb 3.82
Th 0.5000 0.5000 0.0000  8 Tb 3.46, 4 Th 3.58
Tb 0.0000 0.0000 0.2256  4 Th 3.46, 4 Tb 3.58, 4 Na 3.82

As for the mass density: 7.11 Mg/m³. For the formation energy, the calculation gives 0.097 eV/atom. Its total energy is -4.403 eV per atom.

***

## NaTb2Th (PBE)

Data for NaTb2Th after structural relaxation.

abc: 3.5514 3.5514 12.7546
angles: 82.00 82.00 60.00
Closest atoms and distances in Å follow each position.
Positions (direct):
Na 0.0000 0.0000 0.0000  2 Tb 3.52, 6 Na 3.55
Tb 0.0932 0.0932 0.7203  3 Th 3.45, 1 Na 3.52, 6 Tb 3.55
Tb 0.9068 0.9068 0.2797  3 Th 3.45, 1 Na 3.52, 6 Tb 3.55
Th 0.5000 0.5000 0.5000  6 Tb 3.45, 6 Th 3.55

As for the mass density: 6.92 Mg/m³. For the formation energy, the calculation gives 0.144 eV/atom. Its total energy is -4.356 eV per atom.

***

## Na2Tb2Tl3 (PBE)

Data for Na2Tb2Tl3 after structural relaxation.

abc: 3.8469 3.7351 14.7363
angles: 90.00 82.50 90.00
Closest atoms and distances in Å follow each position.
Positions (direct):
Tl 0.1305 0.0000 0.7390  4 Tb 3.27, 4 Na 3.32
Tb 0.5665 0.5000 0.8670  8 Tl 3.27-3.31
Tl 0.8695 0.0000 0.2610  4 Tb 3.27, 4 Na 3.32
Na 0.6974 0.5000 0.6051  4 Tl 3.32, 2 Na 3.62
Tl 0.0000 0.0000 0.0000  8 Tb 3.31
Tb 0.4335 0.5000 0.1330  8 Tl 3.27-3.31
Na 0.3026 0.5000 0.3949  4 Tl 3.32, 2 Na 3.62

As for the mass density: 7.73 Mg/m³. For the formation energy, the calculation gives -0.207 eV/atom. Its total energy is -2.921 eV per atom.

***

## NaTb3Tl5 (PBE)

Data for NaTb3Tl5 after structural relaxation.

abc: 6.4407 9.4054 9.4050
angles: 120.00 90.00 90.00
Closest atoms and distances in Å follow each position.
Positions (direct):
Tl 0.5000 0.6667 0.3333  2 Tl 3.22, 6 Tb 3.40
Tl 0.2500 0.2988 0.2989  5 Tb 3.16-3.28, 2 Na 3.24
Tl 0.7500 0.0000 0.2989  5 Tb 3.16-3.28, 2 Na 3.24
Tl 0.2500 0.0000 0.7011  5 Tb 3.16-3.28, 2 Na 3.24
Na 0.0000 0.0000 0.0000  2 Na 3.22, 6 Tl 3.24
Tl 0.7500 0.7012 0.7011  5 Tb 3.16-3.28, 2 Na 3.24
Tb 0.7500 0.6345 0.0000  9 Tl 3.16-3.40
Tl 0.0000 0.3333 0.6667  2 Tl 3.22, 6 Tb 3.40
Tb 0.2500 0.0000 0.3656  9 Tl 3.16-3.40
Na 0.5000 0.0000 0.0000  2 Na 3.22, 6 Tl 3.24
Tb 0.2500 0.3655 0.0000  9 Tl 3.16-3.40
Tb 0.2500 0.6345 0.6344  9 Tl 3.16-3.40
Tl 0.5000 0.3333 0.6667  2 Tl 3.22, 6 Tb 3.40
Tl 0.0000 0.6667 0.3333  2 Tl 3.22, 6 Tb 3.40
Tb 0.7500 0.0000 0.6344  9 Tl 3.16-3.40
Tl 0.7500 0.2988 0.0000  5 Tb 3.16-3.28, 2 Na 3.24
Tl 0.2500 0.7012 0.0000  5 Tb 3.16-3.28, 2 Na 3.24
Tb 0.7500 0.3655 0.3656  9 Tl 3.16-3.40

As for the mass density: 10.24 Mg/m³. For the formation energy, the calculation gives -0.221 eV/atom. Its total energy is -3.226 eV per atom.

***

## Na2TbTl5 (PBE)

Data for Na2TbTl5 after structural relaxation.

abc: 6.6461 6.6465 6.6470
angles: 105.81 105.81 117.08
Closest atoms and distances in Å follow each position.
Positions (direct):
Tl 0.2782 0.7776 0.0000  2 Tb 3.32, 4 Na 3.32, 4 Tl 3.32-3.47
Tl 0.7776 0.7778 0.4996  4 Na 3.32, 2 Tb 3.32, 4 Tl 3.32-3.47
Tb 0.7783 0.7782 0.0000  10 Tl 3.32-3.47
Na 0.7777 0.2780 0.5000  8 Tl 3.32, 2 Na 3.47
Na 0.2776 0.7780 0.5000  8 Tl 3.32, 2 Na 3.47
Tl 0.2781 0.2782 0.5004  4 Na 3.32, 2 Tb 3.32, 4 Tl 3.32-3.47
Tl 0.7779 0.2781 0.0000  2 Tb 3.32, 4 Tl 3.32-3.47, 4 Na 3.32
Tl 0.2775 0.2772 0.0000  8 Tl 3.32, 2 Tb 3.46-3.47

As for the mass density: 9.13 Mg/m³. For the formation energy, the calculation gives -0.165 eV/atom. Its total energy is -2.552 eV per atom.

***

Calculated values (μB per formula unit) of size of the total moment for the records, taken in order: 0.0 0.0 0.0 0.0 0.5 0.0 0.0 0.0 0.0 0.0 0.0 0.0.